Record 1
Material: MgZnTe2O8
Method: DFT, PBE
State: optimized geometry

abc: 6.8894 6.8894 6.6826
angles: 90.00 90.00 90.00
Last column: nearest neighbours and their distance in Å.
Space group I-4m2 (No. 119)
Inequivalent atoms, fractional coordinates:
Mg: 0.0000 0.0000 0.0000  4 O 2.11
Zn: 0.0000 0.5000 0.7500  4 O 2.12
Te: 0.0000 0.0000 0.5000  4 O 1.85
Te: 0.0000 0.5000 0.2500  4 O 1.84
O: 0.0000 0.1992 0.6860  1 Te 1.85
O: 0.0000 0.2990 0.0688  1 Te 1.84

Output
**E_tot**: -123.4 eV for the cell shown
**Energy relative to the elements, uncorrected**: -1245 kJ/mol of formula units

***

Record 2
Material: TmPuCd
Method: DFT, PBE
State: optimized geometry

abc: 5.3303 5.3303 3.2027
angles: 90.00 90.00 120.00
Last column: nearest neighbours and their distance in Å.
Space group P3m1 (No. 156)
Inequivalent atoms, fractional coordinates:
Tm: 0.0000 0.0000 0.0000  2 Tm 3.20, 3 Cd 3.21, 3 Pu 3.34
Pu: 0.6667 0.3333 0.4049  2 Pu 3.20, 3 Cd 3.24, 3 Tm 3.34
Cd: 0.3333 0.6667 0.7191  2 Cd 3.20, 3 Tm 3.21, 3 Pu 3.24

Output
**Density of states at the Fermi level**: 8.05 states/eV per cell
**E_tot**: -19.6 eV for the cell shown
**Energy relative to the lowest polymorph listed for this composition**: 0.20 eV/f.u.

***

Record 3
Material: CrGeOs
Method: DFT, PBE
State: optimized geometry

abc: 4.2016 4.2016 2.7706
angles: 90.00 90.00 120.00
Last column: nearest neighbours and their distance in Å.
Space group P-6m2 (No. 187)
Inequivalent atoms, fractional coordinates:
Cr: 0.0000 0.0000 0.0000  2 Cr 2.77, 6 Ge 2.79, 6 Os 2.79
Ge: 0.3333 0.6667 0.5000  3 Os 2.43
Os: 0.6667 0.3333 0.5000  3 Ge 2.43

Output
**Density of states at the Fermi level**: 2.35 states/eV per cell
**E_tot**: -25.0 eV for the cell shown